Record 1
Material: Ba2SeS
Method: DFT, PBE-GGA
State: optimized geometry

Unit cell a=4.6440 b=4.6440 c=8.0553 alpha=73.22 beta=73.22 gamma=60.00
Sites, in units of the cell vectors:
Ba (0.7473, 0.7473, 0.7582)
Se (0.5000, 0.5000, 0.5000)
Ba (0.2527, 0.2527, 0.2418)
S (0.0000, 0.0000, 0.0000)

Computed properties:
Crystal system: trigonal
Energy relative to the elements, uncorrected in eV per atom: -2.062

Record 2
Material: TaTcAg2
Method: DFT, PBE-GGA
State: optimized geometry

Unit cell a=4.8856 b=4.8856 c=4.8856 alpha=129.96 beta=129.96 gamma=73.46
Sites, in units of the cell vectors:
Ta (0.5000, 0.5000, 0.0000)
Ag (0.2500, 0.7500, 0.5000)
Tc (0.7500, 0.2500, 0.5000)
Ag (0.0000, 0.0000, 0.0000)

Computed properties:
Crystal system: tetragonal
ΔE_f in eV per atom: 0.387

Record 3
Material: TbEr5Tm8
Method: DFT, PBE-GGA
State: optimized geometry

Unit cell a=8.3018 b=8.3018 c=8.3018 alpha=111.04 beta=106.39 gamma=111.04
Sites, in units of the cell vectors:
Tm (0.1618, 0.7387, 0.0805)
Tb (0.2500, 0.5000, 0.7500)
Tm (0.5769, 0.9188, 0.8382)
Er (0.0368, 0.3238, 0.1350)
Tm (0.5248, 0.6055, 0.2716)
Tm (0.3418, 0.2613, 0.4231)
Er (0.2870, 0.0982, 0.9632)
Er (0.5000, 0.0000, 0.5000)
Tm (0.7284, 0.2532, 0.3338)
Er (0.8650, 0.9018, 0.1887)
Tm (0.9195, 0.0812, 0.6582)
Er (0.8113, 0.6762, 0.7130)
Tm (0.0806, 0.7468, 0.4752)
Tm (0.6662, 0.3945, 0.9194)

Computed properties:
Crystal system: tetragonal
ΔE_f in eV per atom: 0.257

We obtain energy values of -4.926, -6.594, -4.258 eV per atom for the records listed above, in that order.